Density functional theory data (PBE with a Hubbard U) for an optimized crystal structure of Pr2SmMoO8.

Cell: 5.2456 5.2493 7.0401 Å, 90.00 90.00 90.56°
Closest atoms and distances in Å follow each position.
Fractional positions:
Pr  0.5000  0.5000  0.7528  6 O 2.29-2.47
Pr  0.5000  0.5000  0.2472  6 O 2.29-2.47
Sm  0.0000  0.0000  0.5000  6 O 2.25-2.45
Mo  0.0000  0.0000  0.0000  6 O 1.94-1.96
O  0.1764  0.8230  0.2064  1 Mo 1.96
O  0.7369  0.7379  0.0000  1 Mo 1.94
O  0.8235  0.1770  0.2064  1 Mo 1.96
O  0.8236  0.1770  0.7936  1 Mo 1.96
O  0.2631  0.2621  0.0000  1 Mo 1.94
O  0.1765  0.8230  0.7936  1 Mo 1.96
O  0.6946  0.6952  0.5000  1 Sm 2.25, 2 Pr 2.29
O  0.3054  0.3048  0.5000  1 Sm 2.25, 2 Pr 2.29

Calculated values
M_tot = 0.086 μB/atom
DOS(E_F) = 6.58 states/eV per cell
Space group = No. 65
Total DFT energy (no corrections) = -91.38 eV per cell